Entry from the Alexandria database: RbCa2Mg after structural relaxation (GGA-PBE).

Values from the calculation:
energy of formation	193	meV per atom
energy	-1.4485	eV/atom
total magnetic moment	0.00	μB per formula unit
space-group type	No. 166

Unit cell a=13.4673 b=13.4673 c=13.4673 alpha=17.00 beta=17.00 gamma=17.00
Fractional positions:
Rb 0.0000 0.0000 0.0000
Ca 0.1025 0.1025 0.1025
Ca 0.8975 0.8975 0.8975
Mg 0.5000 0.5000 0.5000

Entry from the Alexandria database: RbCaMg3 after structural relaxation (GGA-PBE).

Values from the calculation:
energy of formation	867	meV per atom
energy relative to the lowest polymorph listed for this composition	332.3	meV/atom
energy	-0.6838	eV/atom
total magnetic moment	0.00	μB per formula unit
space-group type	No. 221

Unit cell a=6.1319 b=6.1319 c=6.1319 alpha=90.00 beta=90.00 gamma=90.00
Fractional positions:
Rb 0.0000 0.0000 0.0000
Ca 0.5000 0.5000 0.5000
Mg 0.0000 0.0000 0.5000
Mg 0.0000 0.5000 0.0000
Mg 0.5000 0.0000 0.0000

Entry from the Alexandria database: Rb2CaMgW after structural relaxation (GGA-PBE).

Values from the calculation:
energy of formation	1436	meV per atom
energy	-2.2608	eV/atom
total magnetic moment	4.22	μB per formula unit
space-group type	No. 123

Unit cell a=6.6882 b=6.6882 c=5.5803 alpha=90.00 beta=90.00 gamma=90.00
Fractional positions:
Rb 0.0000 0.5000 0.0000
Rb 0.5000 0.0000 0.0000
Ca 0.0000 0.0000 0.5000
Mg 0.5000 0.5000 0.0000
W 0.5000 0.5000 0.5000

Entry from the Alexandria database: RbCa2MgZn after structural relaxation (GGA-PBE).

Values from the calculation:
energy of formation	100	meV per atom
energy	-1.4681	eV/atom
total magnetic moment	0.00	μB per formula unit
space-group type	No. 123

Unit cell a=5.9664 b=5.9664 c=5.4202 alpha=90.00 beta=90.00 gamma=90.00
Fractional positions:
Rb 0.0000 0.0000 0.0000
Ca 0.0000 0.5000 0.5000
Ca 0.5000 0.0000 0.5000
Mg 0.5000 0.5000 0.0000
Zn 0.5000 0.5000 0.5000

Entry from the Alexandria database: CaMgRe3 after structural relaxation (GGA-PBE).

Values from the calculation:
energy of formation	2192	meV per atom
energy relative to the lowest polymorph listed for this composition	0.0	meV/atom
energy	-5.9962	eV/atom
total magnetic moment	0.00	μB per formula unit
space-group type	No. 221

Unit cell a=4.6485 b=4.6485 c=4.6485 alpha=90.00 beta=90.00 gamma=90.00
Fractional positions:
Ca 0.0000 0.0000 0.0000
Mg 0.5000 0.5000 0.5000
Re 0.0000 0.5000 0.5000
Re 0.5000 0.0000 0.5000
Re 0.5000 0.5000 0.0000

Entry from the Alexandria database: Ca2MgRe after structural relaxation (GGA-PBE).

Values from the calculation:
energy of formation	649	meV per atom
energy	-3.8620	eV/atom
total magnetic moment	0.96	μB per formula unit
space-group type	No. 166

Unit cell a=10.9334 b=10.9334 c=10.9334 alpha=17.11 beta=17.11 gamma=17.11
Fractional positions:
Ca 0.2378 0.2378 0.2378
Ca 0.7622 0.7622 0.7622
Mg 0.0000 0.0000 0.0000
Re 0.5000 0.5000 0.5000

Entry from the Alexandria database: CaMgRe after structural relaxation (GGA-PBE).

Values from the calculation:
energy of formation	1636	meV per atom
energy relative to the lowest polymorph listed for this composition	1080.1	meV/atom
energy	-3.7123	eV/atom
total magnetic moment	2.69	μB per formula unit
space-group type	No. 216

Unit cell a=4.8420 b=4.8420 c=4.8420 alpha=60.00 beta=60.00 gamma=60.00
Fractional positions:
Ca 0.0000 0.0000 0.0000
Mg 0.7500 0.7500 0.7500
Re 0.2500 0.2500 0.2500

Entry from the Alexandria database: Ca2MgRe after structural relaxation (GGA-PBE).

Values from the calculation:
energy of formation	552	meV per atom
energy	-3.9592	eV/atom
total magnetic moment	0.00	μB per formula unit
space-group type	No. 6

Unit cell a=2.9844 b=5.0659 c=6.1512 alpha=90.00 beta=95.19 gamma=90.00
Fractional positions:
Ca 0.0000 0.0000 0.0000
Ca 0.1371 0.5000 0.6608
Mg 0.5666 0.5000 0.2181
Re 0.5775 0.0000 0.4635

Q: What is the total magnetic moment in the eighth record?
A: 0.00 μB per formula unit

Q: energy of formation of number 2 (RbCaMg3)?
A: 867 meV per atom